## Bi2MoS2 (PBE)

Data for Bi2MoS2 after structural relaxation.

## Properties
* formation energy without anion corrections: 59.7 kJ per mole of atoms
* E above lowest polymorph: 205 meV per atom

Geometry as extended XYZ:
```
10
Lattice="7.790 0.000 0.000 0.000 7.790 0.000 0.000 0.000 4.283" Properties=species:S:1:pos:R:3 pbc="T T T"
Bi 1.244 2.651 0.000
Bi 6.546 5.139 0.000
Bi 2.651 6.546 0.000
Bi 5.139 1.244 0.000
Mo 3.895 3.895 0.000
Mo 0.000 0.000 0.000
S 5.380 6.305 2.141
S 2.410 1.485 2.141
S 1.485 5.380 2.141
S 6.305 2.410 2.141
```

---

## Cu2SbPt (PBE)

Data for Cu2SbPt after structural relaxation.

## Properties
* formation energy without anion corrections: -8.7 kJ per mole of atoms

Geometry as extended XYZ:
```
4
Lattice="-3.191 -2.935 -2.237 0.548 -3.505 -3.349 -0.116 -3.655 1.480" Properties=species:S:1:pos:R:3 pbc="T T T"
Pt -2.069 -7.571 -3.080
Cu -0.116 -3.654 1.480
Cu -1.380 -5.048 -2.053
Sb -0.690 -2.524 -1.027
```

---

## NdSm2Sc (PBE)

Data for NdSm2Sc after structural relaxation.

## Properties
* DFT formation energy: 38.4 meV/atom
* E above lowest polymorph: 0 meV per atom

Geometry as extended XYZ:
```
4
Lattice="5.039 0.000 0.000 0.000 5.002 0.000 0.000 0.000 5.002" Properties=species:S:1:pos:R:3 pbc="T T T"
Nd 2.519 2.501 2.501
Sm 0.000 0.000 2.501
Sm 0.000 2.501 0.000
Sc 2.519 0.000 0.000
```

---

## BaCoTc2 (PBE)

Data for BaCoTc2 after structural relaxation.

## Properties
* DFT formation energy: 1351.8 meV/atom
* E above lowest polymorph: 893 meV per atom

Geometry as extended XYZ:
```
4
Lattice="-1.926 5.309 1.087 -2.346 -4.922 1.829 1.605 0.103 2.337" Properties=species:S:1:pos:R:3 pbc="T T T"
Tc 0.000 0.000 0.000
Tc -2.136 0.193 1.458
Ba -0.161 2.706 1.712
Co -0.371 -2.409 2.083
```

---

For reference, volume by record: 260, 62, 126, 76 Å³/cell.